Entry 1:
An optimized crystal structure of SrGa2NiAg. Source: Alexandria, functional GGA-PBE.

It has space group P4/mmm (No. 123), with a = 4.609 Å, b = 4.609 Å, c = 5.111 Å, α = 90.00°, β = 90.00° and γ = 90.00°. The distinct sites, in fractional coordinates, are Sr at (0.000, 0.000, 0.000), Ga at (0.000, 0.500, 0.500), Ni at (0.500, 0.500, 0.500) and Ag at (0.500, 0.500, 0.000).

The calculated density is 6.02 g cm⁻³. The calculation puts the offset from the most stable computed form at 0.0 kJ per mole of atoms. The formation energy is -267 meV/atom.

Entry 2:
An optimized crystal structure of SrGa2NiAg. Source: Alexandria, functional GGA-PBE.

It has space group P4/mmm (No. 123), with a = 4.858 Å, b = 4.858 Å, c = 5.861 Å, α = 90.00°, β = 90.00° and γ = 90.00°. The distinct sites, in fractional coordinates, are Sr at (0.000, 0.000, 0.000), Ga at (0.000, 0.500, 0.500), Ni at (0.500, 0.500, 0.000) and Ag at (0.000, 0.000, 0.500).

The calculated density is 4.73 g cm⁻³. The calculation puts the offset from the most stable computed form at 74.0 kJ per mole of atoms. The formation energy is 501 meV/atom.

Entry 3:
An optimized crystal structure of GaNiAgTe2. Source: Alexandria, functional GGA-PBE.

It has space group P4/mmm (No. 123), with a = 5.035 Å, b = 5.035 Å, c = 4.991 Å, α = 90.00°, β = 90.00° and γ = 90.00°. The distinct sites, in fractional coordinates, are Ga at (0.000, 0.000, 0.000), Ni at (0.500, 0.500, 0.500), Ag at (0.500, 0.500, 0.000) and Te at (0.000, 0.500, 0.500).

The calculated density is 6.45 g cm⁻³. As for the raw formation energy: 0.21 eV per atom.

Entry 4:
An optimized crystal structure of Th2Ga4Ni3Ag. Source: Alexandria, functional GGA-PBE.

It has space group P-4m2 (No. 115), with a = 4.195 Å, b = 4.195 Å, c = 10.245 Å, α = 90.00°, β = 90.00° and γ = 90.00°. The distinct sites, in fractional coordinates, are Th at (0.000, 0.500, 0.239), Ga at (0.000, 0.000, 0.000), Ga at (0.000, 0.500, 0.642), Ga at (0.500, 0.500, 0.000), Ni at (0.000, 0.500, 0.873), Ni at (0.500, 0.500, 0.500) and Ag at (0.000, 0.000, 0.500).

The calculated density is 9.46 g cm⁻³. The formation energy is -504 meV/atom.

Entry 5:
An optimized crystal structure of TiGaNiAg. Source: Alexandria, functional GGA-PBE.

It has space group F-43m (No. 216), with a = 6.192 Å, b = 6.192 Å, c = 6.192 Å, α = 90.00°, β = 90.00° and γ = 90.00°. The distinct sites, in fractional coordinates, are Ti at (0.000, 0.000, 0.000), Ga at (0.000, 0.000, 0.500), Ni at (0.250, 0.250, 0.750) and Ag at (0.250, 0.250, 0.250).

The calculated density is 7.95 g cm⁻³. The formation energy is -202 meV/atom.

Entry 6:
An optimized crystal structure of YGaNiAg. Source: Alexandria, functional GGA-PBE.

It has space group F-43m (No. 216), with a = 6.612 Å, b = 6.612 Å, c = 6.612 Å, α = 90.00°, β = 90.00° and γ = 90.00°. The distinct sites, in fractional coordinates, are Y at (0.000, 0.000, 0.000), Ga at (0.000, 0.000, 0.500), Ni at (0.250, 0.250, 0.750) and Ag at (0.250, 0.250, 0.250).

The calculated density is 7.47 g cm⁻³. The formation energy is -285 meV/atom.

Entry 7:
An optimized crystal structure of YGaNi2Ag. Source: Alexandria, functional GGA-PBE.

It has space group P4/mmm (No. 123), with a = 4.712 Å, b = 4.712 Å, c = 5.241 Å, α = 90.00°, β = 90.00° and γ = 90.00°. The distinct sites, in fractional coordinates, are Y at (0.000, 0.000, 0.000), Ga at (0.500, 0.500, 0.000), Ni at (0.000, 0.500, 0.500) and Ag at (0.000, 0.000, 0.500).

The calculated density is 5.48 g cm⁻³. The formation energy is 795 meV/atom.

Entry 8:
An optimized crystal structure of YGa3NiAg. Source: Alexandria, functional GGA-PBE.

It has space group Cmcm (No. 63), with a = 5.843 Å, b = 12.412 Å, c = 6.096 Å, α = 90.00°, β = 90.00° and γ = 90.00°. The distinct sites, in fractional coordinates, are Y at (0.000, 0.215, 0.250), Ga at (0.000, 0.366, 0.750), Ga at (0.219, 0.000, 0.000), Ni at (0.000, 0.428, 0.250) and Ag at (0.000, 0.156, 0.750).

The calculated density is 6.98 g cm⁻³. The formation energy is -274 meV/atom.

Entry 9:
An optimized crystal structure of Zn2GaNiAg. Source: Alexandria, functional GGA-PBE.

It has space group P4/mmm (No. 123), with a = 4.812 Å, b = 4.812 Å, c = 4.785 Å, α = 90.00°, β = 90.00° and γ = 90.00°. The distinct sites, in fractional coordinates, are Zn at (0.000, 0.500, 0.000), Ga at (0.000, 0.000, 0.500), Ni at (0.500, 0.500, 0.500) and Ag at (0.000, 0.000, 0.000).

The calculated density is 5.50 g cm⁻³. The formation energy is 825 meV/atom.

Entry 10:
An optimized crystal structure of ZnGaNi2Ag. Source: Alexandria, functional GGA-PBE.

It has space group P4/mmm (No. 123), with a = 4.734 Å, b = 4.734 Å, c = 4.681 Å, α = 90.00°, β = 90.00° and γ = 90.00°. The distinct sites, in fractional coordinates, are Zn at (0.000, 0.000, 0.000), Ga at (0.500, 0.500, 0.000), Ni at (0.000, 0.500, 0.500) and Ag at (0.500, 0.500, 0.500).

The calculated density is 5.70 g cm⁻³. The formation energy is 1047 meV/atom.

Entry 11:
An optimized crystal structure of ZnGaNiAg. Source: Alexandria, functional GGA-PBE.

It has space group F-43m (No. 216), with a = 6.136 Å, b = 6.136 Å, c = 6.136 Å, α = 90.00°, β = 90.00° and γ = 90.00°. The distinct sites, in fractional coordinates, are Zn at (0.000, 0.000, 0.000), Ga at (0.000, 0.000, 0.500), Ni at (0.250, 0.250, 0.750) and Ag at (0.250, 0.250, 0.250).

The calculated density is 8.67 g cm⁻³. The formation energy is -71 meV/atom.

Entry 12:
An optimized crystal structure of Np4Ga12Ag. Source: Alexandria, functional GGA-PBE.

It has space group Im-3m (No. 229), with a = 8.679 Å, b = 8.679 Å, c = 8.679 Å, α = 90.00°, β = 90.00° and γ = 90.00°. The distinct sites, in fractional coordinates, are Np at (0.250, 0.250, 0.250), Ga at (0.000, 0.000, 0.301), Ga at (0.000, 0.250, 0.500) and Ag at (0.000, 0.000, 0.000).

The calculated density is 9.61 g cm⁻³. The formation energy is -192 meV/atom.